Run i
{
  "formula": "NiB3O",
  "functional": "PBE+U",
  "state": "optimized geometry",
  "dos_at_fermi_per_ev_cell": 1.7,
  "cell": [[3.7015, 0.0000, 0.0000], [0.0000, 3.7015, 0.0000], [0.0000, 0.0000, 3.7015]],
  "species": ["Ni", "B", "B", "B", "O"],
  "frac_coords": [[0.0000, 0.0000, 0.0000], [0.0000, 0.0000, 0.5000], [0.0000, 0.5000, 0.0000], [0.5000, 0.0000, 0.0000], [0.5000, 0.5000, 0.5000]]
}

Run ii
{
  "formula": "NiB3O",
  "functional": "PBE+U",
  "state": "optimized geometry",
  "dos_at_fermi_per_ev_cell": 2.8,
  "cell": [[3.4040, 0.0000, 0.0000], [0.0000, 3.4040, 0.0000], [0.0000, 0.0000, 3.4040]],
  "species": ["Ni", "B", "B", "B", "O"],
  "frac_coords": [[0.0000, 0.0000, 0.0000], [0.0000, 0.5000, 0.5000], [0.5000, 0.0000, 0.5000], [0.5000, 0.5000, 0.0000], [0.5000, 0.5000, 0.5000]]
}

Which of them is most stable? Easy: run i.

Run i
{
  "formula": "Ni2BO",
  "functional": "PBE+U",
  "state": "optimized geometry",
  "dos_at_fermi_per_ev_cell": 4.2,
  "cell": [[-2.3076, 2.3076, 4.2665], [2.3076, -2.3076, 4.2665], [2.3076, 2.3076, -4.2665]],
  "species": ["Ni", "Ni", "Ni", "Ni", "B", "B", "O", "O"],
  "frac_coords": [[0.1254, 0.6250, 0.0004], [0.3750, 0.3754, 0.5004], [0.6246, 0.1250, 0.9996], [0.8750, 0.8746, 0.4996], [0.0000, 0.0000, 0.0000], [0.7500, 0.2500, 0.5000], [0.2500, 0.7500, 0.5000], [0.5000, 0.5000, 0.0000]]
}

Run ii
{
  "formula": "Ni2BO",
  "functional": "PBE+U",
  "state": "optimized geometry",
  "dos_at_fermi_per_ev_cell": 2.7,
  "cell": [[0.0000, 2.5547, 2.5547], [2.5547, 0.0000, 2.5547], [2.5547, 2.5547, 0.0000]],
  "species": ["Ni", "Ni", "B", "O"],
  "frac_coords": [[0.2500, 0.2500, 0.2500], [0.7500, 0.7500, 0.7500], [0.0000, 0.0000, 0.0000], [0.5000, 0.5000, 0.5000]]
}

Which of them is most stable? Easy: run i.

Run i
{
  "formula": "NiBPO2",
  "functional": "PBE+U",
  "state": "optimized geometry",
  "dos_at_fermi_per_ev_cell": 2.6,
  "cell": [[3.0426, 0.0000, 0.0000], [0.0000, 3.0426, 0.0000], [0.0000, 0.0000, 7.4713]],
  "species": ["Ni", "B", "P", "O", "O"],
  "frac_coords": [[0.0000, 0.0000, 0.0000], [0.5000, 0.5000, 0.5000], [0.5000, 0.5000, 0.0000], [0.0000, 0.5000, 0.5000], [0.5000, 0.0000, 0.5000]]
}

Run ii
{
  "formula": "NiBPO2",
  "functional": "PBE+U",
  "state": "optimized geometry",
  "dos_at_fermi_per_ev_cell": 2.9,
  "cell": [[3.4729, 0.0000, 0.0000], [0.0000, 3.4729, 0.0000], [0.0000, 0.0000, 4.7876]],
  "species": ["Ni", "B", "P", "O", "O"],
  "frac_coords": [[0.0000, 0.0000, 0.0000], [0.5000, 0.5000, 0.5000], [0.0000, 0.0000, 0.5000], [0.0000, 0.5000, 0.0000], [0.5000, 0.0000, 0.0000]]
}

Which of them is most stable? Easy: run i.